No. 1
A plane-wave DFT calculation with PBE-GGA was carried out for an optimized crystal structure of Mg2ScW.

Results
* energy: -5.430 eV per atom
* energy of formation: 0.189 eV per atom

Cell lengths 2.9027, 2.9027, 9.6160 Å; angles 90.00, 90.00, 101.68 degrees
Closest atoms and distances in Å follow each position.
Atoms (fractional coordinates):
Mg: 0.0000 0.0000 0.9825  4 W 2.90-3.18, 6 Mg 2.90-3.14
Mg: 0.5000 0.5000 0.2471  6 Mg 2.90-3.14, 2 Sc 3.22
Sc: 0.0000 0.0000 0.5218  4 W 2.85-3.13, 4 Sc 2.90
W: 0.5000 0.5000 0.7486  4 Sc 2.85-3.13, 4 Mg 2.90-3.18, 4 W 2.90

***

No. 2
A plane-wave DFT calculation with PBE-GGA was carried out for an optimized crystal structure of MgZrTlRh.

Results
* energy: -5.347 eV per atom
* energy of formation: -0.382 eV per atom

Cell lengths 3.2437, 3.2437, 7.5743 Å; angles 90.00, 90.00, 90.00 degrees
Closest atoms and distances in Å follow each position.
Atoms (fractional coordinates):
Mg: 0.5000 0.5000 0.3605  4 Rh 2.79
Zr: 0.5000 0.5000 0.7782  4 Rh 2.79
Tl: 0.0000 0.0000 0.0765  4 Mg 3.14, 4 Zr 3.22, 4 Tl 3.24
Rh: 0.0000 0.0000 0.5695  4 Zr 2.79, 4 Mg 2.79

***

No. 3
A plane-wave DFT calculation with PBE-GGA was carried out for an optimized crystal structure of CdBrO.

Results
* uncorrected formation energy: -443 meV/atom
* energy: -2.958 eV per atom

Cell lengths 4.0364, 5.3095, 7.5005 Å; angles 70.94, 57.44, 90.00 degrees
Closest atoms and distances in Å follow each position.
Atoms (fractional coordinates):
O: 0.4414 0.9989 0.3086  3 Cd 2.21-2.41, 1 Br 2.37
O: 0.5586 0.0011 0.6914  3 Cd 2.21-2.41, 1 Br 2.37
Cd: 0.9713 0.1801 0.2787  3 O 2.21-2.41
Cd: 0.0287 0.8199 0.7213  3 O 2.21-2.41
Br: 0.5172 0.5950 0.2328  1 O 2.37
Br: 0.4828 0.4050 0.7672  1 O 2.37

***

No. 4
A plane-wave DFT calculation with PBE-GGA was carried out for an optimized crystal structure of TbYBiS.

Results
* uncorrected formation energy: -1335 meV/atom
* energy: -6.110 eV per atom

Cell lengths 4.0637, 4.0627, 7.7153 Å; angles 90.00, 105.27, 120.00 degrees
Closest atoms and distances in Å follow each position.
Atoms (fractional coordinates):
Tb: 0.9428 0.3693 0.3277  3 S 2.84
Y: 0.3316 0.5637 0.9103  3 S 2.77
Bi: 0.4718 0.1339 0.6208  3 Y 3.17, 3 Tb 3.19
S: 0.1317 0.9638 0.1108  3 Y 2.77, 3 Tb 2.84

***

No. 5
A plane-wave DFT calculation with PBE-GGA was carried out for an optimized crystal structure of PmThTcOs.

Results
* energy: -8.415 eV per atom
* energy of formation: 0.027 eV per atom

Cell lengths 4.9864, 4.9864, 4.9864 Å; angles 60.00, 60.00, 60.00 degrees
Closest atoms and distances in Å follow each position.
Atoms (fractional coordinates):
Os: 0.0000 0.0000 0.0000  4 Th 3.05, 4 Pm 3.05
Tc: 0.5000 0.5000 0.5000  4 Th 3.05, 4 Pm 3.05
Th: 0.7500 0.7500 0.7500  4 Tc 3.05, 4 Os 3.05
Pm: 0.2500 0.2500 0.2500  4 Tc 3.05, 4 Os 3.05

***

No. 6
A plane-wave DFT calculation with PBE-GGA was carried out for an optimized crystal structure of Sr2CrFeB.

Results
* energy: -4.811 eV per atom
* energy of formation: 0.815 eV per atom

Cell lengths 5.6531, 4.0924, 5.6531 Å; angles 90.00, 90.00, 90.00 degrees
Closest atoms and distances in Å follow each position.
Atoms (fractional coordinates):
Sr: 0.0000 0.0000 0.5000  2 B 2.83
Sr: 0.5000 0.0000 0.0000  2 B 2.83
B: 0.0000 0.0000 0.0000  2 Cr 2.05
Fe: 0.5000 0.5000 0.5000  8 Sr 3.49
Cr: 0.0000 0.5000 0.0000  2 B 2.05

***

No. 7
A plane-wave DFT calculation with PBE-GGA was carried out for an optimized crystal structure of RbScPbI6.

Results
* uncorrected formation energy: -1099 meV/atom
* energy: -3.355 eV per atom

Cell lengths 8.0391, 8.0391, 15.8807 Å; angles 90.00, 90.00, 120.00 degrees
Closest atoms and distances in Å follow each position.
Atoms (fractional coordinates):
Rb: 0.0000 0.0000 0.0000  6 I 3.73
Rb: 0.0000 0.0000 0.5000  6 I 3.73
Sc: 0.6667 0.3333 0.2500  6 I 2.91
Sc: 0.3333 0.6667 0.7500  6 I 2.91
Pb: 0.3333 0.6667 0.2500  6 I 3.24
Pb: 0.6667 0.3333 0.7500  6 I 3.24
I: 0.6455 0.6142 0.1413  1 Sc 2.91, 1 Pb 3.24
I: 0.9688 0.3545 0.1413  1 Sc 2.91, 1 Pb 3.24
I: 0.3545 0.9688 0.6413  1 Sc 2.91, 1 Pb 3.24
I: 0.0312 0.6455 0.8587  1 Sc 2.91, 1 Pb 3.24
I: 0.3858 0.3545 0.3587  1 Sc 2.91, 1 Pb 3.24
I: 0.9688 0.6142 0.3587  1 Sc 2.91, 1 Pb 3.24
I: 0.6142 0.9688 0.8587  1 Sc 2.91, 1 Pb 3.24
I: 0.6455 0.0312 0.3587  1 Sc 2.91, 1 Pb 3.24
I: 0.0312 0.3858 0.6413  1 Sc 2.91, 1 Pb 3.24
I: 0.3858 0.0312 0.1413  1 Sc 2.91, 1 Pb 3.24
I: 0.6142 0.6455 0.6413  1 Sc 2.91, 1 Pb 3.24
I: 0.3545 0.3858 0.8587  1 Sc 2.91, 1 Pb 3.24

***

No. 8
A plane-wave DFT calculation with PBE-GGA was carried out for an optimized crystal structure of MnTcRh2.

Results
* energy: -8.648 eV per atom
* energy of formation: -0.088 eV per atom

Cell lengths 3.7882, 3.8218, 3.8218 Å; angles 90.00, 90.00, 90.00 degrees
Closest atoms and distances in Å follow each position.
Atoms (fractional coordinates):
Mn: 0.5000 0.0000 0.5000  8 Rh 2.69, 4 Tc 2.70
Rh: 0.0000 0.0000 0.0000  4 Mn 2.69, 4 Tc 2.69, 4 Rh 2.70
Rh: 0.0000 0.5000 0.5000  4 Mn 2.69, 4 Tc 2.69, 4 Rh 2.70
Tc: 0.5000 0.5000 0.0000  8 Rh 2.69, 4 Mn 2.70

***

No. 9
A plane-wave DFT calculation with PBE-GGA was carried out for an optimized crystal structure of TmPu5Ru6.

Results
* energy: -11.117 eV per atom
* energy of formation: -0.135 eV per atom

Cell lengths 4.7658, 6.7638, 7.5151 Å; angles 90.00, 71.51, 89.99 degrees
Closest atoms and distances in Å follow each position.
Atoms (fractional coordinates):
Ru: 0.8299 0.7487 0.3397  7 Pu 2.90-2.95, 1 Tm 2.96
Ru: 0.8304 0.2513 0.3397  7 Pu 2.90-2.95, 1 Tm 2.96
Ru: 0.4997 0.2524 0.0000  6 Pu 2.88-2.91, 2 Tm 2.93
Ru: 0.5003 0.7476 0.0000  6 Pu 2.88-2.91, 2 Tm 2.93
Ru: 0.1696 0.7487 0.6603  7 Pu 2.90-2.95, 1 Tm 2.96
Ru: 0.1701 0.2513 0.6603  7 Pu 2.90-2.95, 1 Tm 2.96
Tm: 0.0000 0.0000 0.0000  8 Ru 2.93-2.96
Pu: 0.6644 0.5000 0.6713  8 Ru 2.88-2.92
Pu: 0.3356 0.0000 0.3287  8 Ru 2.90-2.93
Pu: 0.0000 0.5000 0.0000  8 Ru 2.91-2.95
Pu: 0.6644 0.0000 0.6713  8 Ru 2.90-2.93
Pu: 0.3356 0.5000 0.3287  8 Ru 2.88-2.92

***

No. 10
A plane-wave DFT calculation with PBE-GGA was carried out for an optimized crystal structure of Sm2TmCd4.

Results
* energy: -2.268 eV per atom
* energy of formation: 0.242 eV per atom

Cell lengths 5.5694, 5.5694, 8.8133 Å; angles 108.42, 108.42, 90.00 degrees
Closest atoms and distances in Å follow each position.
Atoms (fractional coordinates):
Sm: 0.6065 0.6065 0.2130  5 Cd 3.20-3.25, 1 Sm 3.36
Sm: 0.3935 0.3935 0.7870  5 Cd 3.20-3.25, 1 Sm 3.36
Tm: 0.0000 0.0000 0.0000  6 Cd 2.78-3.01
Cd: 0.8093 0.8093 0.6187  1 Tm 3.01, 1 Sm 3.20
Cd: 0.1907 0.1907 0.3813  1 Tm 3.01, 1 Sm 3.20
Cd: 0.0000 0.5000 0.0000  2 Tm 2.78
Cd: 0.5000 0.0000 0.0000  2 Tm 2.78

***

No. 11
A plane-wave DFT calculation with PBE-GGA was carried out for an optimized crystal structure of LiSiI2N.

Results
* uncorrected formation energy: 837 meV/atom
* energy: -2.915 eV per atom

Cell lengths 5.4730, 3.9187, 5.4730 Å; angles 90.00, 90.00, 90.00 degrees
Closest atoms and distances in Å follow each position.
Atoms (fractional coordinates):
I: 0.0000 0.0000 0.5000  2 Li 2.74
I: 0.5000 0.0000 0.0000  2 Li 2.74
Si: 0.5000 0.5000 0.5000  8 I 3.37
Li: 0.0000 0.0000 0.0000  2 N 1.96
N: 0.0000 0.5000 0.0000  2 Li 1.96

***

- Which of these has the lowest energy?
  TmPu5Ru6

***

- Which formula does entry 10 have?
  Sm2TmCd4

***

- What is the energy in the fifth record?
  -8.415 eV per atom